(1)
PaFePd2 GGA-PBE optimized geometry; relative energy among the computed polymorphs = 0.000 eV/atom; DFT formation energy = -485 meV/atom; total energy = -30.285 eV/f.u.
1.0
-1.552 -3.434 -2.089
1.928 1.094 -3.230
3.105 -2.098 1.143
Pa Fe Pd
1 1 2
Direct
0.500 0.000 0.000
0.500 0.500 0.500
0.000 0.000 0.500
0.000 0.500 0.000

(2)
Li5GaHg3 GGA-PBE optimized geometry; DFT formation energy = -307 meV/atom; total energy = -16.261 eV/f.u.
1.0
-3.267 3.799 2.804
1.717 -3.686 6.994
4.708 6.015 -2.665
Li Ga Hg
10 2 6
Direct
0.000 0.667 0.333
0.500 0.333 0.667
0.000 0.333 0.667
0.500 0.667 0.333
0.750 0.700 0.700
0.750 0.000 0.300
0.750 0.300 0.000
0.250 0.300 0.300
0.250 0.000 0.700
0.250 0.700 0.000
0.000 0.000 0.000
0.500 0.000 0.000
0.750 0.364 0.364
0.750 0.000 0.636
0.750 0.636 0.000
0.250 0.636 0.636
0.250 0.000 0.364
0.250 0.364 0.000

(3)
PaTl2TeO8 GGA-PBE optimized geometry; formation energy (no corrections) = -1.544 eV per atom; total energy = -75.568 eV/f.u.
1.0
-4.258 1.864 -2.134
1.143 -2.688 -4.198
-3.576 -5.356 2.456
Pa Tl Te O
1 2 1 8
Direct
0.000 0.000 0.500
0.500 0.500 0.758
0.500 0.500 0.242
0.000 0.000 0.000
0.177 0.822 0.230
0.718 0.719 0.000
0.823 0.178 0.230
0.823 0.178 0.770
0.282 0.281 0.000
0.177 0.822 0.770
0.703 0.705 0.500
0.297 0.295 0.500

(4)
NaB2As GGA-PBE optimized geometry; relative energy among the computed polymorphs = 0.305 eV/atom; DFT formation energy = 1406 meV/atom; total energy = -13.700 eV/f.u.
1.0
1.700 -2.939 -2.509
2.669 -2.854 1.599
-1.192 -4.034 0.365
Na As B
1 1 2
Direct
0.000 0.000 0.000
0.500 0.500 0.500
0.250 0.250 0.250
0.750 0.750 0.750

(5)
Na3Sn4Pb8 GGA-PBE optimized geometry; DFT formation energy = 34 meV/atom; total energy = -49.121 eV/f.u.
1.0
6.487 -0.085 -0.122
-3.087 8.360 1.545
-3.087 -1.453 8.376
Na Sn Pb
3 4 8
Direct
0.500 0.500 0.000
0.500 0.000 0.500
0.500 0.500 0.500
0.500 0.000 0.000
0.000 0.500 0.000
0.000 0.000 0.000
0.000 0.000 0.500
0.232 0.245 0.245
0.000 0.704 0.296
0.790 0.293 0.293
0.500 0.756 0.244
0.500 0.244 0.756
0.210 0.707 0.707
0.000 0.296 0.704
0.768 0.755 0.755

(6)
Ta2Co2P GGA-PBE optimized geometry; DFT formation energy = -264 meV/atom; total energy = -44.649 eV/f.u.
1.0
5.710 0.000 0.000
0.000 5.710 0.000
0.000 0.000 4.230
P Co Ta
2 4 4
Direct
0.000 0.000 0.000
0.500 0.500 0.000
0.351 0.851 0.000
0.851 0.649 0.000
0.649 0.149 0.000
0.149 0.351 0.000
0.178 0.678 0.500
0.678 0.822 0.500
0.822 0.322 0.500
0.322 0.178 0.500

(7)
Sr2MnRe GGA-PBE optimized geometry; relative energy among the computed polymorphs = 0.782 eV/atom; DFT formation energy = 1163 meV/atom; total energy = -20.330 eV/f.u.
1.0
3.304 0.000 0.000
0.000 3.304 0.000
0.000 0.000 9.712
Mn Re Sr
1 1 2
Direct
0.500 0.500 0.250
0.500 0.500 0.750
0.000 0.000 0.976
0.000 0.000 0.524

(8)
LiLaCr2 GGA-PBE optimized geometry; relative energy among the computed polymorphs = 0.000 eV/atom; DFT formation energy = 386 meV/atom; total energy = -24.544 eV/f.u.
1.0
3.053 0.715 0.000
-0.712 3.054 0.000
0.000 0.000 8.004
Cr La Li
2 1 1
Direct
0.000 0.000 0.043
0.500 0.500 0.173
0.000 0.000 0.468
0.500 0.500 0.816

(9)
Ac4LaPd2 GGA-PBE optimized geometry; DFT formation energy = -337 meV/atom; total energy = -34.107 eV/f.u.
1.0
-4.261 3.997 -4.231
-6.692 -4.425 2.560
1.629 6.994 4.966
Ac La Pd
8 2 4
Direct
0.505 0.407 0.772
0.250 0.251 0.342
0.750 0.749 0.658
0.995 0.407 0.772
0.750 0.026 0.387
0.005 0.593 0.228
0.495 0.593 0.228
0.250 0.974 0.613
0.250 0.848 0.970
0.750 0.152 0.030
0.250 0.230 0.990
0.750 0.770 0.010
0.750 0.379 0.392
0.250 0.621 0.608

(10)
BaLiTi2B GGA-PBE optimized geometry; DFT formation energy = 1684 meV/atom; total energy = -17.884 eV/f.u.
1.0
4.636 0.000 0.000
0.000 4.914 0.000
0.000 0.000 4.636
B Li Ba Ti
1 1 1 2
Direct
0.500 0.500 0.500
0.000 0.000 0.000
0.000 0.500 0.000
0.000 0.000 0.500
0.500 0.000 0.000

(11)
TcMoHPd2 GGA-PBE optimized geometry; total energy = -34.489 eV/f.u.
1.0
3.862 0.000 0.000
0.000 3.862 0.000
0.000 0.000 4.200
H Mo Tc Pd
1 1 1 2
Direct
0.000 0.000 0.000
0.500 0.500 0.500
0.000 0.000 0.500
0.000 0.500 0.000
0.500 0.000 0.000

(12)
Li2NiCl GGA-PBE optimized geometry; formation energy (no corrections) = -0.502 eV per atom; relative energy among the computed polymorphs = 0.000 eV/atom; total energy = -13.462 eV/f.u.
1.0
-0.768 -3.010 -0.397
0.849 -2.128 2.136
-6.066 -0.591 4.078
Cl Li Ni
1 2 1
Direct
0.750 0.750 0.750
0.011 0.011 0.972
0.489 0.489 0.528
0.250 0.250 0.250

(13)
CaCoP2Ir GGA-PBE optimized geometry; DFT formation energy = -795 meV/atom; total energy = -32.764 eV/f.u.
1.0
-3.722 1.335 0.399
0.055 -0.994 3.847
3.527 4.223 -1.012
Ca Co P Ir
1 1 2 1
Direct
0.000 0.000 0.000
0.750 0.250 0.500
0.623 0.623 0.246
0.377 0.377 0.754
0.250 0.750 0.500

(14)
NaZr2H8 GGA-PBE optimized geometry; total energy = -48.410 eV/f.u.
1.0
-2.509 -1.775 2.083
2.035 -4.553 -2.502
3.168 1.761 4.242
Na Zr H
1 2 8
Direct
0.500 0.000 0.000
0.000 0.320 0.680
0.000 0.680 0.320
0.966 0.961 0.679
0.966 0.679 0.961
0.284 0.591 0.591
0.500 0.755 0.245
0.500 0.245 0.755
0.716 0.409 0.409
0.034 0.321 0.039
0.034 0.039 0.321

(15)
CaFeSb2Pd GGA-PBE optimized geometry; formation energy (no corrections) = -0.058 eV per atom; total energy = -24.193 eV/f.u.
1.0
4.940 0.000 0.000
0.000 4.947 0.000
0.000 0.000 4.940
Sb Ca Fe Pd
2 1 1 1
Direct
0.000 0.000 0.500
0.500 0.000 0.000
0.500 0.500 0.500
0.000 0.000 0.000
0.000 0.500 0.000

(16)
Os2RuAu GGA-PBE optimized geometry; relative energy among the computed polymorphs = 0.245 eV/atom; DFT formation energy = 524 meV/atom; total energy = -32.918 eV/f.u.
1.0
-4.562 1.531 0.284
-3.055 -3.719 -0.268
3.890 0.830 2.723
Au Os Ru
1 2 1
Direct
0.750 0.250 0.500
0.000 0.000 0.000
0.250 0.750 0.500
0.500 0.500 0.000

(17)
TiCuTeI2 GGA-PBE optimized geometry; formation energy (no corrections) = 0.573 eV per atom; relative energy among the computed polymorphs = 0.355 eV/atom; total energy = -15.368 eV/f.u.
1.0
-1.802 -3.863 3.104
-0.306 -3.210 -4.172
4.952 -1.608 0.874
I Te Cu Ti
2 1 1 1
Direct
0.000 0.500 0.000
0.500 0.000 0.000
0.000 0.000 0.500
0.000 0.000 0.000
0.500 0.500 0.500

(18)
CaGeBr2 GGA-PBE optimized geometry; formation energy (no corrections) = -1.198 eV per atom; relative energy among the computed polymorphs = 0.046 eV/atom; total energy = -14.755 eV/f.u.
1.0
-2.606 0.904 -3.149
-4.257 -4.817 2.144
-2.321 8.262 4.300
Ge Ca Br
2 2 4
Direct
0.557 0.012 0.647
0.058 0.078 0.786
0.552 0.545 0.720
0.053 0.558 0.229
0.052 0.663 0.942
0.554 0.876 0.351
0.052 0.444 0.502
0.553 0.276 0.117

(19)
Pr2H2PdO6 GGA-PBE optimized geometry; total energy = -69.271 eV/f.u.
1.0
-2.134 -3.141 3.465
2.236 -4.491 1.120
2.703 -0.297 5.209
Pr H Pd O
2 2 1 6
Direct
0.774 0.774 0.678
0.226 0.226 0.322
0.416 0.416 0.752
0.584 0.584 0.248
0.000 0.000 0.000
0.741 0.741 0.264
0.253 0.741 0.264
0.741 0.253 0.264
0.259 0.747 0.736
0.747 0.259 0.736
0.259 0.259 0.736

(20)
BaGa2Mo GGA-PBE optimized geometry; relative energy among the computed polymorphs = 0.139 eV/atom; DFT formation energy = 475 meV/atom; total energy = -16.906 eV/f.u.
1.0
0.000 3.637 3.637
3.637 0.000 3.637
3.637 3.637 0.000
Mo Ba Ga
1 1 2
Direct
0.000 0.000 0.000
0.500 0.500 0.500
0.250 0.250 0.250
0.750 0.750 0.750